No. 1
Here is BaTl3S3 after structural relaxation from Alexandria via LeMat-Bulk. Energies are from PBE.

Values from the calculation:
- Total energy: -3.761 eV per atom
- Raw formation energy: -703 meV/atom

abc: 7.270 7.270 10.818
angles: 70.37 70.37 60.00
Positions (direct):
1 Ba 0.667 0.667 0.000
2 Ba 0.333 0.333 0.000
3 Tl 0.881 0.550 0.359
4 Tl 0.119 0.450 0.641
5 Tl 0.210 0.881 0.359
6 Tl 0.790 0.119 0.641
7 Tl 0.550 0.210 0.359
8 Tl 0.450 0.790 0.641
9 S 0.590 0.931 0.205
10 S 0.273 0.590 0.205
11 S 0.410 0.069 0.795
12 S 0.931 0.273 0.205
13 S 0.727 0.410 0.795
14 S 0.069 0.727 0.795


No. 2
Here is BaTl2S2 after structural relaxation from Alexandria via LeMat-Bulk. Energies are from PBE.

Values from the calculation:
- Total energy: -3.686 eV per atom
- Energy relative to the lowest polymorph listed for this composition: 1.72 eV per formula unit
- Raw formation energy: -704 meV/atom

abc: 8.440 8.440 4.457
angles: 90.00 90.00 90.00
Positions (direct):
1 S 0.682 0.182 0.000
2 S 0.318 0.818 0.000
3 S 0.182 0.318 0.000
4 S 0.818 0.682 0.000
5 Ba 0.000 0.000 0.000
6 Ba 0.500 0.500 0.000
7 Tl 0.631 0.869 0.500
8 Tl 0.131 0.631 0.500
9 Tl 0.869 0.369 0.500
10 Tl 0.369 0.131 0.500


No. 3
Here is BaTl2S3 after structural relaxation from Alexandria via LeMat-Bulk. Energies are from PBE.

Values from the calculation:
- Total energy: -3.692 eV per atom
- Raw formation energy: -519 meV/atom

abc: 6.131 7.678 7.678
angles: 82.08 90.00 90.00
Positions (direct):
1 S 0.750 0.522 0.783
2 S 0.750 0.217 0.478
3 S 0.750 0.186 0.814
4 S 0.250 0.783 0.522
5 S 0.250 0.814 0.186
6 S 0.250 0.478 0.217
7 Ba 0.750 0.643 0.357
8 Ba 0.250 0.357 0.643
9 Tl 0.500 0.829 0.829
10 Tl 0.000 0.829 0.829
11 Tl 0.000 0.171 0.171
12 Tl 0.500 0.171 0.171


No. 4
Here is Ba2TlS3 after structural relaxation from Alexandria via LeMat-Bulk. Energies are from PBE.

Values from the calculation:
- Total energy: -4.460 eV per atom
- Energy relative to the lowest polymorph listed for this composition: 0.11 eV per formula unit
- Raw formation energy: -1361 meV/atom

abc: 4.270 5.100 9.374
angles: 105.78 103.16 90.00
Positions (direct):
1 S 0.000 0.500 0.000
2 S 0.832 0.832 0.664
3 S 0.168 0.168 0.336
4 Tl 0.000 0.000 0.000
5 Ba 0.655 0.655 0.310
6 Ba 0.345 0.345 0.690


No. 5
Here is Ba2Tl2S after structural relaxation from Alexandria via LeMat-Bulk. Energies are from PBE.

Values from the calculation:
- Total energy: -3.189 eV per atom
- Raw formation energy: -648 meV/atom

abc: 8.406 8.406 5.956
angles: 90.00 90.00 90.00
Positions (direct):
1 Ba 0.691 0.191 0.000
2 Ba 0.191 0.309 0.000
3 Ba 0.809 0.691 0.000
4 Ba 0.309 0.809 0.000
5 Tl 0.126 0.626 0.500
6 Tl 0.626 0.874 0.500
7 Tl 0.874 0.374 0.500
8 Tl 0.374 0.126 0.500
9 S 0.500 0.500 0.000
10 S 0.000 0.000 0.000


No. 6
Here is Ba3TlS4 after structural relaxation from Alexandria via LeMat-Bulk. Energies are from PBE.

Values from the calculation:
- Total energy: -4.565 eV per atom
- Raw formation energy: -1484 meV/atom

abc: 6.338 9.196 10.608
angles: 90.00 90.00 90.00
Positions (direct):
1 S 0.064 0.328 0.247
2 S 0.564 0.146 0.500
3 S 0.564 0.672 0.747
4 S 0.064 0.854 0.000
5 S 0.064 0.328 0.753
6 S 0.564 0.672 0.253
7 S 0.596 0.179 0.000
8 S 0.096 0.821 0.500
9 Ba 0.562 0.331 0.748
10 Ba 0.062 0.669 0.248
11 Ba 0.062 0.150 0.500
12 Ba 0.562 0.331 0.252
13 Ba 0.562 0.850 0.000
14 Ba 0.062 0.669 0.752
15 Tl 0.041 0.175 0.000
16 Tl 0.541 0.825 0.500


No. 7
Here is BaTl2S2 after structural relaxation from Alexandria via LeMat-Bulk. Energies are from PBE.

Values from the calculation:
- Total energy: -4.030 eV per atom
- Energy relative to the lowest polymorph listed for this composition: 0.00 eV per formula unit
- Raw formation energy: -1048 meV/atom

abc: 4.445 4.445 9.978
angles: 77.13 77.13 60.00
Positions (direct):
1 Tl 0.214 0.214 0.358
2 Tl 0.786 0.786 0.642
3 S 0.602 0.602 0.193
4 S 0.398 0.398 0.807
5 Ba 0.000 0.000 0.000


No. 8
Here is Ba3TlS5 after structural relaxation from Alexandria via LeMat-Bulk. Energies are from PBE.

Values from the calculation:
- Total energy: -4.499 eV per atom
- Raw formation energy: -1302 meV/atom

abc: 8.477 8.477 9.541
angles: 116.38 116.38 90.00
Positions (direct):
1 S 0.199 0.020 0.718
2 S 0.480 0.301 0.282
3 S 0.500 0.500 0.000
4 S 0.801 0.980 0.282
5 S 0.520 0.699 0.718
6 S 0.301 0.801 0.282
7 S 0.699 0.199 0.718
8 S 0.980 0.480 0.282
9 S 0.000 0.000 0.000
10 S 0.020 0.520 0.718
11 Ba 0.344 0.844 0.000
12 Ba 0.844 0.656 0.000
13 Ba 0.250 0.250 0.500
14 Ba 0.750 0.750 0.500
15 Ba 0.156 0.344 0.000
16 Ba 0.656 0.156 0.000
17 Tl 0.750 0.250 0.500
18 Tl 0.250 0.750 0.500